# 1
A geometry-optimized BaTl2 structure. Source: Alexandria, functional PBE.

Output
Its crystal system is monoclinic. The calculation puts the volume at 216.1 Å³ per cell. The value obtained for the theoretical density is 8.4 Mg/m³. The calculation puts the energy relative to the elements at -0.889 eV per formula unit. The total energy comes out at -2.5147 eV per atom. Its density of states at the Fermi level is 4.25 states/eV/cell.

Cell and atoms, written as POSCAR:
```
BaTl2
1.0
5.3686 -2.7666 0.0000
5.3686 2.7666 0.0000
-1.0538 0.0000 7.2742
Ba Tl
2 4
Direct
0.0000 0.0000 0.0000
0.6743 0.6743 0.3932
0.0016 0.0016 0.5206
0.3370 0.3370 0.1949
0.3378 0.3378 0.6955
0.6729 0.6729 0.8728
```


# 2
A geometry-optimized Ba4Tl3 structure. Source: Alexandria, functional PBE.

Output
Its crystal system is hexagonal. The calculation puts the volume at 297.0 Å³ per cell. For the energy above the most stable polymorph in this dataset, the calculation gives 182.7 meV/atom. The value obtained for the theoretical density is 6.5 Mg/m³. The calculation puts the energy relative to the elements at -1.039 eV per formula unit. The total energy comes out at -2.2612 eV per atom. Its density of states at the Fermi level is 11.45 states/eV/cell.

Cell and atoms, written as POSCAR:
```
Ba4Tl3
1.0
6.8148 0.0000 0.0000
-3.4074 5.9018 0.0000
0.0000 0.0000 7.3851
Ba Tl
4 3
Direct
0.0000 0.0000 0.2332
0.0000 0.0000 0.7668
0.3333 0.6667 0.5000
0.6667 0.3333 0.5000
0.0000 0.5000 0.0000
0.5000 0.0000 0.0000
0.5000 0.5000 0.0000
```


# 3
A geometry-optimized Ba2Tl structure. Source: Alexandria, functional PBE.

Output
Its crystal system is cubic. The calculation puts the volume at 283.0 Å³ per cell. The value obtained for the theoretical density is 5.6 Mg/m³. The calculation puts the energy relative to the elements at 0.737 eV per formula unit. The total energy comes out at -1.8249 eV per atom. Its density of states at the Fermi level is 8.83 states/eV/cell.

Cell and atoms, written as POSCAR:
```
Ba2Tl
1.0
0.0000 5.2108 5.2108
5.2108 0.0000 5.2108
5.2108 5.2108 0.0000
Ba Tl
4 2
Direct
0.0000 0.0000 0.0000
0.0000 0.0000 0.5000
0.0000 0.5000 0.0000
0.5000 0.0000 0.0000
0.3750 0.3750 0.3750
0.6250 0.6250 0.6250
```